Record 1
The following is a PBE calculation of Tb3IrPt2 after structural relaxation, from Alexandria via LeMat-Bulk.

Results
- mass density (g cm⁻³) = 13.8
- energy relative to the elements (meV/atom) = -1074
- calculated total energy (eV per atom) = -6.88

Cell lengths 7.820, 7.820, 6.936 Å; angles 90.00, 90.00, 143.17 degrees
Fractional positions:
Tb: 0.000 0.000 0.247
Tb: 0.000 0.000 0.753
Tb: 0.332 0.668 0.246
Tb: 0.332 0.668 0.754
Tb: 0.668 0.332 0.246
Tb: 0.668 0.332 0.754
Ir: 0.167 0.833 0.000
Ir: 0.833 0.167 0.000
Pt: 0.166 0.834 0.500
Pt: 0.500 0.500 0.000
Pt: 0.500 0.500 0.500
Pt: 0.834 0.166 0.500



Record 2
The following is a PBE calculation of Tb3IrPt after structural relaxation, from Alexandria via LeMat-Bulk.

Results
- mass density (g cm⁻³) = 11.3
- energy above the most stable polymorph in this dataset (meV/atom) = 51
- energy relative to the elements (meV/atom) = -862
- calculated total energy (eV per atom) = -6.62

Cell lengths 4.105, 6.970, 8.845 Å; angles 90.00, 90.00, 90.00 degrees
Fractional positions:
Tb: 0.250 0.012 0.166
Tb: 0.250 0.250 0.559
Tb: 0.250 0.488 0.166
Tb: 0.750 0.512 0.834
Tb: 0.750 0.750 0.441
Tb: 0.750 0.988 0.834
Ir: 0.250 0.250 0.893
Ir: 0.750 0.750 0.107
Pt: 0.250 0.750 0.658
Pt: 0.750 0.250 0.342